{
  "formula": "MgCdCu",
  "functional": "GGA-PBE",
  "state": "relaxed",
  "lattice": [[5.0772, -0.0834, -1.3026], [-3.0266, 4.0774, -1.3026], [0.0412, 0.0803, 5.3268]],
  "species": ["Cu", "Mg", "Cd", "Mg", "Cd", "Cu"],
  "frac_coords": [[0.2500, 0.7500, 0.5000], [0.8328, 0.8328, 0.6655], [0.3362, 0.6638, 0.0000], [0.1672, 0.1672, 0.3345], [0.6638, 0.3362, 0.0000], [0.7500, 0.2500, 0.5000]],
  "rho_g_cm3": 6.05,
  "delta_e_f_kj_per_mol_fu": -19,
  "magmom_total_mub_per_cell": 0.00
}



{
  "formula": "Zn2SeBr",
  "functional": "GGA-PBE",
  "state": "relaxed",
  "lattice": [[4.9077, 0.0034, 0.0000], [-0.0026, 4.9077, 0.0000], [0.0000, 0.0000, 3.3724]],
  "species": ["Zn", "Se", "Zn", "Br"],
  "frac_coords": [[0.5000, 0.5000, 0.0000], [0.0000, 0.5000, 0.5000], [0.0000, 0.0000, 0.0000], [0.5000, 0.0000, 0.5000]],
  "rho_g_cm3": 5.92,
  "magmom_total_mub_per_cell": 0.00,
  "e_tot_ha_per_atom": -0.0693
}



{
  "formula": "KHfAg2I8",
  "functional": "GGA-PBE",
  "state": "relaxed",
  "lattice": [[0.7032, 2.8784, -7.3557], [-7.3686, -1.1516, 0.6000], [-4.5905, 8.3485, 2.2132]],
  "species": ["I", "I", "I", "Ag", "I", "I", "Ag", "K", "I", "I", "Hf", "I"],
  "frac_coords": [[0.0354, 0.7115, 0.2806], [0.3533, 0.2123, 0.9934], [0.9646, 0.2885, 0.7194], [0.6543, 0.6103, 0.3099], [0.5187, 0.7723, 0.5014], [0.4813, 0.2277, 0.4986], [0.3457, 0.3897, 0.6901], [0.0000, 0.0000, 0.5000], [0.1261, 0.7807, 0.8541], [0.6467, 0.7877, 0.0066], [0.0000, 0.0000, 0.0000], [0.8739, 0.2193, 0.1459]],
  "rho_g_cm3": 4.58,
  "magmom_total_mub_per_cell": 0.00,
  "e_tot_ha_per_atom": -0.1137
}



{
  "formula": "Dy3Bi2",
  "functional": "GGA-PBE",
  "state": "relaxed",
  "lattice": [[8.0074, 0.0000, 0.0000], [0.0000, 7.9968, 0.0000], [0.0000, 0.0000, 9.7345]],
  "species": ["Bi", "Dy", "Dy", "Dy", "Dy", "Dy", "Bi", "Bi", "Bi", "Bi", "Dy", "Bi", "Dy", "Dy", "Dy", "Bi", "Bi", "Dy", "Dy", "Dy"],
  "frac_coords": [[0.2998, 0.1120, 0.6497], [0.0155, 0.1222, 0.3516], [0.6349, 0.2500, 0.5000], [0.3651, 0.7500, 0.5000], [0.5155, 0.3778, 0.8516], [0.1349, 0.2500, 0.0000], [0.7998, 0.1120, 0.8503], [0.7998, 0.3880, 0.1497], [0.2002, 0.6120, 0.8503], [0.2002, 0.8880, 0.1497], [0.4845, 0.6222, 0.1484], [0.2998, 0.3880, 0.3503], [0.5155, 0.1222, 0.1484], [0.8651, 0.7500, 0.0000], [0.4845, 0.8778, 0.8516], [0.7002, 0.8880, 0.3503], [0.7002, 0.6120, 0.6497], [0.9845, 0.8778, 0.6484], [0.0155, 0.3778, 0.6484], [0.9845, 0.6222, 0.3516]],
  "rho_g_cm3": 9.65,
  "delta_e_f_kj_per_mol_fu": -274,
  "magmom_total_mub_per_cell": 0.00
}



{
  "formula": "CsMg2Zn2",
  "functional": "GGA-PBE",
  "state": "relaxed",
  "lattice": [[-8.5468, 0.1313, -3.3225], [-1.4538, -8.3890, 3.4082], [-1.0561, 1.3078, 2.7684]],
  "species": ["Zn", "Zn", "Mg", "Cs", "Mg", "Zn", "Mg", "Zn", "Cs", "Mg"],
  "frac_coords": [[0.8513, 0.6487, 0.0000], [0.6487, 0.1487, 0.0000], [0.1300, 0.6300, 0.5000], [0.0000, 0.0000, 0.0000], [0.8700, 0.3700, 0.5000], [0.3513, 0.8513, 0.0000], [0.3700, 0.1300, 0.5000], [0.1487, 0.3513, 0.0000], [0.5000, 0.5000, 0.0000], [0.6300, 0.8700, 0.5000]],
  "rho_g_cm3": 3.81,
  "delta_e_f_kj_per_mol_fu": 97,
  "magmom_total_mub_per_cell": 0.00
}



{
  "formula": "TbHf2Mo",
  "functional": "GGA-PBE",
  "state": "relaxed",
  "lattice": [[-2.5975, 2.1054, 0.5811], [-1.1507, -2.0867, 2.4165], [4.3072, 3.8341, 5.3618]],
  "species": ["Tb", "Hf", "Mo", "Hf"],
  "frac_coords": [[0.5000, 0.5000, 0.5000], [0.0000, 0.0000, 0.1940], [0.5000, 0.5000, 0.0000], [0.0000, 0.0000, 0.8060]],
  "rho_g_cm3": 11.20,
  "delta_e_f_kj_per_mol_fu": 19,
  "magmom_total_mub_per_cell": 0.00
}



{
  "formula": "Al2HPd8",
  "functional": "GGA-PBE",
  "state": "relaxed",
  "lattice": [[3.9738, 0.1408, -0.9789], [-0.6136, 5.2308, -1.7298], [-0.2292, -0.4621, 7.5641]],
  "species": ["Pd", "Al", "Pd", "Pd", "Pd", "Pd", "H", "Pd", "Pd", "Al", "Pd"],
  "frac_coords": [[0.8870, 0.6232, 0.7828], [0.6831, 0.6724, 0.3748], [0.2878, 0.7773, 0.5848], [0.4966, 0.9850, 0.0000], [0.8870, 0.1294, 0.7827], [0.7030, 0.1925, 0.4152], [0.0377, 0.9844, 0.0000], [0.1042, 0.8405, 0.2172], [0.1044, 0.3467, 0.2173], [0.3083, 0.2976, 0.6252], [0.4962, 0.4850, 0.0000]],
  "rho_g_cm3": 9.82,
  "magmom_total_mub_per_cell": 0.00,
  "e_tot_ha_per_atom": -0.1926
}



{
  "formula": "FeHRuW2",
  "functional": "GGA-PBE",
  "state": "relaxed",
  "lattice": [[3.9619, 0.0000, 0.0000], [0.0000, 3.9619, 0.0000], [0.0000, 0.0000, 3.7533]],
  "species": ["W", "W", "H", "Ru", "Fe"],
  "frac_coords": [[0.5000, 0.0000, 0.0000], [0.0000, 0.5000, 0.0000], [0.0000, 0.0000, 0.0000], [0.5000, 0.5000, 0.5000], [0.0000, 0.0000, 0.5000]],
  "rho_g_cm3": 14.81,
  "magmom_total_mub_per_cell": 0.52,
  "e_tot_ha_per_atom": -0.3412
}



{
  "formula": "Ba2ZnIrSe",
  "functional": "GGA-PBE",
  "state": "relaxed",
  "lattice": [[-2.9816, -1.8446, 4.7857], [-4.2039, -2.2923, -3.5026], [2.3698, -4.1549, -0.1250]],
  "species": ["Ba", "Se", "Ba", "Zn", "Ir"],
  "frac_coords": [[0.5000, 0.0000, 0.0000], [0.5000, 0.5000, 0.5000], [0.0000, 0.5000, 0.0000], [0.0000, 0.0000, 0.5000], [0.0000, 0.0000, 0.0000]],
  "rho_g_cm3": 6.03,
  "magmom_total_mub_per_cell": 0.03,
  "e_tot_ha_per_atom": -0.1518
}



{
  "formula": "KZrTl2Cl8",
  "functional": "GGA-PBE",
  "state": "relaxed",
  "lattice": [[6.9263, -0.0171, -0.0046], [0.0118, 6.6049, -0.0027], [0.0054, 0.0161, 8.9647]],
  "species": ["Cl", "Cl", "Cl", "Cl", "Zr", "Cl", "Tl", "Cl", "Tl", "K", "Cl", "Cl"],
  "frac_coords": [[0.2998, 0.2098, 0.0004], [0.8628, 0.2214, 0.8003], [0.8619, 0.2207, 0.1993], [0.3530, 0.2865, 0.5001], [0.0000, 0.0000, 0.0000], [0.7002, 0.7902, 0.9996], [0.5000, 0.4996, 0.7503], [0.1381, 0.7793, 0.8007], [0.5000, 0.5004, 0.2497], [0.0000, 0.0000, 0.5000], [0.1372, 0.7786, 0.1997], [0.6470, 0.7135, 0.4999]],
  "rho_g_cm3": 3.33,
  "magmom_total_mub_per_cell": 0.00,
  "e_tot_ha_per_atom": -0.1408
}